Record 1
VASP calculation (PBE-GGA) on an optimized crystal structure of Mn2ReOs.

Summary:
DFT total energy (eV per atom): -10.457

a b c (Å): 2.6964 4.6580 5.3083
angles (deg): 53.91 90.00 90.00
With the nearest neighbours (Å) after each atom.
Atoms (fractional coordinates):
Mn: 0.0000 0.0000 0.0000  4 Os 2.65, 2 Re 2.65, 6 Mn 2.69-2.70
Mn: 0.5000 0.5000 0.0000  4 Re 2.65, 2 Os 2.65, 6 Mn 2.69-2.70
Os: 0.5000 0.5000 0.5000  6 Mn 2.65, 4 Re 2.69, 2 Os 2.70
Re: 0.0000 0.0000 0.5000  6 Mn 2.65, 4 Os 2.69, 2 Re 2.70



Record 2
VASP calculation (PBE-GGA) on an optimized crystal structure of TbC3.

Summary:
DFT total energy (eV per atom): -7.450

a b c (Å): 5.2653 4.9212 4.9212
angles (deg): 120.02 90.00 90.00
With the nearest neighbours (Å) after each atom.
Atoms (fractional coordinates):
Tb: 0.7500 0.1669 0.8331  12 C 2.53-2.77
Tb: 0.2500 0.8331 0.1669  12 C 2.53-2.77
C: 0.2500 0.9680 0.7347  2 C 1.46
C: 0.2500 0.2653 0.0320  2 C 1.46
C: 0.2500 0.2653 0.7347  2 C 1.46
C: 0.7500 0.0320 0.2653  2 C 1.46
C: 0.7500 0.7347 0.9680  2 C 1.46
C: 0.7500 0.7347 0.2653  2 C 1.46



Record 3
VASP calculation (PBE-GGA) on an optimized crystal structure of CeYCdAu.

Summary:
DFT total energy (eV per atom): -4.579

a b c (Å): 5.2672 5.2672 5.2672
angles (deg): 60.00 60.00 60.00
With the nearest neighbours (Å) after each atom.
Atoms (fractional coordinates):
Y: 0.0000 0.0000 0.0000  4 Au 3.23, 4 Cd 3.23
Au: 0.2500 0.2500 0.2500  4 Ce 3.23, 4 Y 3.23
Ce: 0.5000 0.5000 0.5000  4 Cd 3.23, 4 Au 3.23
Cd: 0.7500 0.7500 0.7500  4 Y 3.23, 4 Ce 3.23



Record 4
VASP calculation (PBE-GGA) on an optimized crystal structure of BiRuOF2.

Summary:
DFT total energy (eV per atom): -4.122
Formation energy without anion corrections (meV/atom): 249

a b c (Å): 4.1168 4.1168 4.5719
angles (deg): 90.00 90.00 90.00
With the nearest neighbours (Å) after each atom.
Atoms (fractional coordinates):
Ru: 0.5000 0.5000 0.5000  4 Bi 2.91, 8 F 3.08
Bi: 0.0000 0.0000 0.5000  2 O 2.29
O: 0.0000 0.0000 0.0000  4 F 2.06, 2 Bi 2.29
F: 0.0000 0.5000 0.0000  2 O 2.06
F: 0.5000 0.0000 0.0000  2 O 2.06



Record 5
VASP calculation (PBE-GGA) on an optimized crystal structure of CaOsBr2.

Summary:
DFT total energy (eV per atom): -4.080
Formation energy without anion corrections (meV/atom): 64

a b c (Å): 4.0520 4.8752 4.8820
angles (deg): 82.69 90.00 90.00
With the nearest neighbours (Å) after each atom.
Atoms (fractional coordinates):
Ca: 0.5000 0.2500 0.2500  4 Br 2.95, 2 Os 3.22
Os: 0.5000 0.7500 0.7500  4 Br 2.53
Br: 0.0000 0.9573 0.9572  2 Os 2.53
Br: 0.0000 0.5427 0.5428  2 Os 2.53



Record 6
VASP calculation (PBE-GGA) on an optimized crystal structure of LiAl2.

Summary:
DFT total energy (eV per atom): -2.972

a b c (Å): 4.3070 4.3070 2.8936
angles (deg): 90.00 90.00 90.00
With the nearest neighbours (Å) after each atom.
Atoms (fractional coordinates):
Al: 0.0000 0.5000 0.5000  4 Li 2.59, 2 Al 2.89
Al: 0.5000 0.0000 0.5000  4 Li 2.59, 2 Al 2.89
Li: 0.0000 0.0000 0.0000  8 Al 2.59, 2 Li 2.89



Record 7
VASP calculation (PBE-GGA) on an optimized crystal structure of LiZr2Sn.

Summary:
DFT total energy (eV per atom): -6.023

a b c (Å): 4.3805 4.3504 4.3504
angles (deg): 90.00 90.00 90.00
With the nearest neighbours (Å) after each atom.
Atoms (fractional coordinates):
Sn: 0.5000 0.5000 0.5000  4 Li 3.08, 8 Zr 3.09
Zr: 0.0000 0.0000 0.5000  4 Zr 3.08, 4 Sn 3.09, 4 Li 3.09
Zr: 0.0000 0.5000 0.0000  4 Zr 3.08, 4 Sn 3.09, 4 Li 3.09
Li: 0.5000 0.0000 0.0000  4 Sn 3.08, 8 Zr 3.09



Record 8
VASP calculation (PBE-GGA) on an optimized crystal structure of RbLiBeIr2.

Summary:
DFT total energy (eV per atom): -3.367

a b c (Å): 4.4157 4.6444 4.4157
angles (deg): 90.00 90.00 90.00
With the nearest neighbours (Å) after each atom.
Atoms (fractional coordinates):
Be: 0.5000 0.5000 0.5000  4 Rb 3.12, 8 Ir 3.20
Ir: 0.0000 0.0000 0.5000  2 Li 2.21
Ir: 0.5000 0.0000 0.0000  2 Li 2.21
Rb: 0.0000 0.5000 0.0000  2 Li 2.32
Li: 0.0000 0.0000 0.0000  4 Ir 2.21, 2 Rb 2.32